A plane-wave DFT calculation with PBE was carried out for a geometry-optimized YErAl6 structure.

Lattice parameters (Å, degrees): 14.5282 14.5282 14.5282 24.46 24.46 24.46
With the nearest neighbours (Å) after each atom.
Element x y z (fractional)
Y 0.1090 0.1090 0.1090  12 Al 3.02-3.09
Y 0.8911 0.8911 0.8911  12 Al 3.02-3.09
Y 0.3908 0.3908 0.3908  12 Al 3.02-3.09
Er 0.0000 0.0000 0.0000  12 Al 3.04-3.08
Er 0.5000 0.5000 0.5000  12 Al 3.04-3.08
Er 0.6090 0.6090 0.6090  12 Al 3.00-3.09
Al 0.9232 0.3710 0.3710  6 Al 2.76-2.88, 2 Er 3.01-3.04, 2 Y 3.09
Al 0.4239 0.8702 0.8702  6 Al 2.75-2.88, 1 Y 3.02, 1 Er 3.04
Al 0.3710 0.3710 0.9232  6 Al 2.76-2.88, 2 Er 3.01-3.04, 2 Y 3.09
Al 0.8702 0.8702 0.4239  6 Al 2.75-2.88, 1 Y 3.02, 1 Er 3.04
Al 0.3710 0.9232 0.3710  6 Al 2.76-2.88, 2 Er 3.01-3.04, 2 Y 3.09
Al 0.8702 0.4239 0.8702  6 Al 2.75-2.88, 1 Y 3.02, 1 Er 3.04
Al 0.5759 0.1297 0.1297  6 Al 2.75-2.88, 1 Y 3.02, 1 Er 3.04
Al 0.0761 0.6296 0.6296  6 Al 2.75-2.88, 1 Y 3.02, 1 Er 3.04
Al 0.1297 0.1297 0.5759  6 Al 2.75-2.88, 1 Y 3.02, 1 Er 3.04
Al 0.6296 0.6296 0.0761  6 Al 2.75-2.88, 1 Y 3.02, 1 Er 3.04
Al 0.1297 0.5759 0.1297  6 Al 2.75-2.88, 1 Y 3.02, 1 Er 3.04
Al 0.6296 0.0761 0.6296  6 Al 2.75-2.88, 1 Y 3.02, 1 Er 3.04
Al 0.5006 0.5006 0.9981  8 Al 2.86-3.09, 3 Er 3.00-3.08, 1 Y 3.02
Al 0.0003 0.0003 0.4998  8 Al 2.87-3.08, 2 Y 3.02, 2 Er 3.08
Al 0.5006 0.9981 0.5006  8 Al 2.86-3.09, 3 Er 3.00-3.08, 1 Y 3.02
Al 0.0003 0.4998 0.0003  8 Al 2.87-3.08, 2 Y 3.02, 2 Er 3.08
Al 0.9981 0.5006 0.5006  8 Al 2.86-3.09, 3 Er 3.00-3.08, 1 Y 3.02
Al 0.4998 0.0003 0.0003  8 Al 2.87-3.08, 2 Y 3.02, 2 Er 3.08

- Energy relative to the elements: -0.43 eV per atom


A plane-wave DFT calculation with PBE was carried out for a geometry-optimized La2NdPaSb4 structure.

Lattice parameters (Å, degrees): 4.5205 7.8329 7.8678 109.26 90.00 90.00
With the nearest neighbours (Å) after each atom.
Element x y z (fractional)
La 0.5000 0.0000 0.5000  6 Sb 3.28-3.29
La 0.0000 0.5000 0.5000  6 Sb 3.22-3.23
Nd 0.0000 0.0000 0.0000  6 Sb 3.18-3.19
Pa 0.5000 0.5000 0.0000  6 Sb 3.11-3.13
Sb 0.5000 0.2537 0.2403  1 Pa 3.11, 2 Nd 3.19, 3 La 3.23-3.29
Sb 0.5000 0.7463 0.7597  1 Pa 3.11, 2 Nd 3.19, 3 La 3.23-3.29
Sb 0.0000 0.2595 0.7628  2 Pa 3.13, 1 Nd 3.18, 3 La 3.22-3.28
Sb 0.0000 0.7405 0.2372  2 Pa 3.13, 1 Nd 3.18, 3 La 3.22-3.28

- Uncorrected formation energy: -101 kJ/mol of atoms


A plane-wave DFT calculation with PBE was carried out for a geometry-optimized Cr2NiBr structure.

Lattice parameters (Å, degrees): 5.0541 5.0541 5.0541 145.83 132.84 59.51
With the nearest neighbours (Å) after each atom.
Element x y z (fractional)
Br 0.2500 0.7500 0.5000  4 Ni 2.51, 4 Cr 2.55
Cr 0.0137 0.0137 0.0000  4 Cr 2.52, 2 Br 2.55, 2 Ni 2.75
Cr 0.4863 0.4863 0.0000  4 Cr 2.52, 2 Br 2.55, 2 Ni 2.75
Ni 0.7500 0.2500 0.5000  4 Br 2.51, 4 Cr 2.75

- Uncorrected formation energy: 82 kJ/mol of atoms


Values of total magnetic moment, in order: 0.0000 0.1083 0.0004, all in μB/atom.